1.
Below is crystalline GdDyMgCo2 at its relaxed geometry, with properties calculated at the PBE-GGA level.

It has space group Imm2 (No. 44), with a = 4.198 Å, b = 5.646 Å, c = 8.231 Å, α = 90.00°, β = 90.00° and γ = 90.00°. The distinct sites, in fractional coordinates, are Gd at (0.000, 0.000, 0.000), Dy at (0.000, 0.000, 0.418), Mg at (0.000, 0.500, 0.209) and Co at (0.000, 0.299, 0.710).

The calculation puts the total energy at -51.8 eV for the cell shown. The value obtained for the total magnetic moment is 0.005 μB per formula unit.


2.
Below is crystalline Nd3GdDy2CoS2 at its relaxed geometry, with properties calculated at the PBE-GGA level.

It has space group Amm2 (No. 38), with a = 3.838 Å, b = 13.974 Å, c = 8.047 Å, α = 90.00°, β = 90.00° and γ = 90.00°. The distinct sites, in fractional coordinates, are Nd at (0.000, 0.000, 0.000), Nd at (0.000, 0.210, 0.370), Gd at (0.500, 0.000, 0.338), Dy at (0.500, 0.121, 0.701), Co at (0.000, 0.000, 0.584) and S at (0.500, 0.167, 0.079).

The calculation puts the total energy at -101.3 eV for the cell shown. The value obtained for the total magnetic moment is 0.051 μB per formula unit.